# 1
Th4FeCoSe2 (PBE, optimized geometry); E_form (uncorrected) = -7.01 eV/f.u.; magnetic moment = 0.00 μB/atom
1.0
-1.244 -1.974 3.221
6.388 0.511 2.781
-4.081 6.138 2.186
Th Fe Co Se
4 1 1 2
Direct
0.500 0.235 0.207 Th
0.500 0.765 0.793 Th
0.000 0.270 0.793 Th
0.000 0.730 0.207 Th
0.500 0.500 0.000 Fe
0.000 0.000 0.000 Co
0.500 0.000 0.500 Se
0.000 0.500 0.500 Se


# 2
Th8FeCo3Se4 (PBE, optimized geometry); E_form (uncorrected) = -14.59 eV/f.u.; magnetic moment = 0.00 μB/atom
1.0
-6.366 -4.204 2.464
4.725 -3.414 6.385
-0.410 7.998 -0.458
Th Fe Co Se
8 1 3 4
Direct
0.235 0.708 0.974 Th
0.235 0.708 0.470 Th
0.264 0.292 0.528 Th
0.739 0.708 0.974 Th
0.261 0.292 0.026 Th
0.736 0.708 0.472 Th
0.765 0.292 0.530 Th
0.765 0.292 0.026 Th
0.000 0.500 0.000 Fe
0.500 0.500 0.000 Co
0.500 0.500 0.500 Co
0.000 0.500 0.500 Co
0.500 0.000 0.000 Se
0.500 0.000 0.500 Se
0.000 0.000 0.000 Se
0.000 0.000 0.500 Se